Density functional theory data (PBE) for K2AlCl5 after structural relaxation.

Properties
crystal system	orthorhombic

a b c (Å): 12.015 12.654 9.135
angles (deg): 90.00 90.00 90.00
Space group Pnnm (No. 58)
Inequivalent atoms, fractional coordinates:
K 0.000 0.000 0.225 [4 per cell]
K 0.144 0.344 0.000 [4 per cell]
Al 0.242 0.729 0.000 [4 per cell]
Cl 0.095 0.155 0.500 [4 per cell]
Cl 0.119 0.602 0.000 [4 per cell]
Cl 0.123 0.119 0.000 [4 per cell]
Cl 0.220 0.825 0.193 [8 per cell]



Density functional theory data (PBE) for KAl2Cl2 after structural relaxation.

Properties
crystal system	tetragonal

a b c (Å): 5.615 5.615 9.697
angles (deg): 90.00 90.00 90.00
Space group I4/mmm (No. 139)
Inequivalent atoms, fractional coordinates:
K 0.000 0.000 0.000 [2 per cell]
Al 0.000 0.000 0.347 [4 per cell]
Cl 0.000 0.500 0.250 [4 per cell]



Density functional theory data (PBE) for K2AlCl5 after structural relaxation.

Properties
crystal system	tetragonal

a b c (Å): 7.344 7.344 9.085
angles (deg): 90.00 90.00 90.00
Space group I4mm (No. 107)
Inequivalent atoms, fractional coordinates:
K 0.000 0.500 0.000 [4 per cell]
Al 0.000 0.000 0.287 [2 per cell]
Cl 0.000 0.000 0.526 [2 per cell]
Cl 0.216 0.216 0.234 [8 per cell]



Number 1: formation energy (no corrections) -1746 meV/atom, energy above the lowest structure with this stoichiometry 0.012 eV per atom, electronic total energy -116.6 eV/cell. Number 2: formation energy (no corrections) -363 meV/atom, energy above the lowest structure with this stoichiometry 0.000 eV per atom, electronic total energy -28.2 eV/cell. Number 3: formation energy (no corrections) -1758 meV/atom, energy above the lowest structure with this stoichiometry 0.000 eV per atom, electronic total energy -58.5 eV/cell.